Entry 1:
DFT (PBE) results for crystalline PmDySi at its relaxed geometry.

Cell lengths 4.354, 6.410, 11.531 Å; angles 90.00, 90.00, 90.00 degrees
Space group Immm (No. 71)
Unique sites:
Pm  0.000  0.000  0.205 (multiplicity 4)
Dy  0.000  0.240  0.500 (multiplicity 4)
Si  0.000  0.500  0.119 (multiplicity 4)

The calculation puts the size of the total moment at 0.00 μB/f.u. Its formation energy from raw total energies is -0.46 eV/atom. Its polymorph energy (0 for the lowest one) is 0.081 eV/atom. The crystal system is orthorhombic. The density of states at the Fermi level comes out at 11.9 states/eV/cell.

***

Entry 2:
DFT (PBE) results for crystalline ZrMo2Pb at its relaxed geometry.

Cell lengths 4.246, 4.246, 8.479 Å; angles 90.00, 90.00, 90.00 degrees
Space group I-4m2 (No. 119)
Unique sites:
Zr  0.000  0.000  0.000 (multiplicity 2)
Mo  0.000  0.000  0.500 (multiplicity 2)
Mo  0.000  0.500  0.750 (multiplicity 2)
Pb  0.000  0.500  0.250 (multiplicity 2)

Its energy of formation from the pure elements is 0.3405 eV per atom. The calculation puts the size of the total moment at 0.00 μB/f.u. The crystal system is tetragonal. The density of states at the Fermi level comes out at 7.0 states/eV/cell.

***

Entry 3:
DFT (PBE) results for crystalline Zn2InRe at its relaxed geometry.

Cell lengths 7.237, 7.237, 5.451 Å; angles 90.00, 90.00, 90.00 degrees
Space group I-42d (No. 122)
Unique sites:
Zn  0.233  0.750  0.125 (multiplicity 8)
In  0.000  0.000  0.500 (multiplicity 4)
Re  0.000  0.000  0.000 (multiplicity 4)

Its energy of formation from the pure elements is 0.6613 eV per atom. The calculation puts the size of the total moment at 0.00 μB/f.u. The crystal system is tetragonal. The density of states at the Fermi level comes out at 0.0 states/eV/cell.

***

Entry 4:
DFT (PBE) results for crystalline Er5MgSc5 at its relaxed geometry.

Cell lengths 5.7876, 5.7876, 10.8617 Å; angles 90.00, 90.00, 120.00 degrees
Space group P-6m2 (No. 187)
Unique sites:
Er  0.0000  0.0000  0.0000 (multiplicity 1)
Er  0.3333  0.6667  0.3094 (multiplicity 2)
Er  0.6667  0.3333  0.1742 (multiplicity 2)
Mg  0.3333  0.6667  0.0000 (multiplicity 1)
Sc  0.0000  0.0000  0.2703 (multiplicity 2)
Sc  0.3325  0.1663  0.5000 (multiplicity 3)

Its energy of formation from the pure elements is 0.2599 eV per atom. The calculation puts the size of the total moment at 4.16 μB/f.u. The crystal system is hexagonal. The density of states at the Fermi level comes out at 17.7 states/eV/cell.

***

Entry 5:
DFT (PBE) results for crystalline Hf2Nb2Tc at its relaxed geometry.

Cell lengths 3.346, 3.346, 16.719 Å; angles 90.00, 90.00, 90.00 degrees
Space group I4/mmm (No. 139)
Unique sites:
Hf  0.000  0.000  0.093 (multiplicity 4)
Nb  0.000  0.000  0.291 (multiplicity 4)
Tc  0.000  0.000  0.500 (multiplicity 2)

Its energy of formation from the pure elements is -0.2013 eV per atom. The calculation puts the size of the total moment at 0.00 μB/f.u. Its polymorph energy (0 for the lowest one) is 0.000 eV/atom. The crystal system is tetragonal. The density of states at the Fermi level comes out at 10.6 states/eV/cell.

***

Entry 6:
DFT (PBE) results for crystalline OsAuCl2 at its relaxed geometry.

Cell lengths 3.4800, 3.4800, 28.4230 Å; angles 90.00, 90.00, 120.00 degrees
Space group R-3m (No. 166, hexagonal axes)
Unique sites:
Os  0.0000  0.0000  0.0000 (multiplicity 3)
Au  0.0000  0.0000  0.5000 (multiplicity 3)
Cl  0.0000  0.0000  0.2887 (multiplicity 6)

The calculation puts the size of the total moment at 0.00 μB/f.u. Its formation energy from raw total energies is 0.55 eV/atom. Its polymorph energy (0 for the lowest one) is 0.328 eV/atom. The crystal system is trigonal. The density of states at the Fermi level comes out at 6.1 states/eV/cell.

***

Entry 7:
DFT (PBE) results for crystalline La2Pr3Y6Ho at its relaxed geometry.

Cell lengths 6.305, 10.920, 11.941 Å; angles 90.00, 100.11, 90.00 degrees
Space group C2/m (No. 12)
Unique sites:
La  0.000  0.166  0.000 (multiplicity 4)
Pr  0.000  0.000  0.500 (multiplicity 2)
Pr  0.000  0.333  0.500 (multiplicity 4)
Y  0.249  0.334  0.250 (multiplicity 8)
Y  0.249  0.500  0.750 (multiplicity 4)
Ho  0.000  0.500  0.000 (multiplicity 2)

Its energy of formation from the pure elements is 0.0108 eV per atom. The calculation puts the size of the total moment at 0.00 μB/f.u. The crystal system is monoclinic. The density of states at the Fermi level comes out at 29.1 states/eV/cell.

***

Entry 8:
DFT (PBE) results for crystalline AsPt3I at its relaxed geometry.

Cell lengths 4.790, 4.790, 4.790 Å; angles 90.00, 90.00, 90.00 degrees
Space group Pm-3m (No. 221)
Unique sites:
As  0.000  0.000  0.000 (multiplicity 1)
Pt  0.000  0.000  0.500 (multiplicity 3)
I  0.500  0.500  0.500 (multiplicity 1)

The calculation puts the size of the total moment at 0.00 μB/f.u. Its formation energy from raw total energies is 0.62 eV/atom. Its polymorph energy (0 for the lowest one) is 0.000 eV/atom. The crystal system is cubic. The density of states at the Fermi level comes out at 8.5 states/eV/cell.

***

> Which of these has the highest size of the total moment?

Er5MgSc5